Zr4Zn3Mo: optimized geometry, PBE.

Lattice parameters (Å, degrees): 3.396 3.396 13.053 90.00 90.00 90.00
Fractional positions:
Zr: 0.000 0.000 0.120
Zr: 0.000 0.000 0.374
Zr: 0.000 0.000 0.880
Zr: 0.000 0.000 0.626
Zn: 0.500 0.500 0.249
Zn: 0.500 0.500 0.500
Mo: 0.500 0.500 0.000
Zn: 0.500 0.500 0.751

Output
* electronic total energy: -50.70 eV per formula unit
* ΔE_f: -231 meV/atom

---

Hf4Zr5Sc2: optimized geometry, PBE.

Lattice parameters (Å, degrees): 3.118 7.747 10.793 93.62 98.31 90.00
Fractional positions:
Sc: 0.415 0.309 0.830
Zr: 0.814 0.529 0.628
Sc: 0.585 0.691 0.170
Zr: 0.867 0.958 0.733
Hf: 0.958 0.658 0.915
Hf: 0.273 0.170 0.545
Zr: 0.500 0.000 0.000
Zr: 0.186 0.471 0.372
Hf: 0.727 0.830 0.455
Hf: 0.042 0.342 0.085
Zr: 0.133 0.042 0.267

Output
* electronic total energy: -94.00 eV per formula unit
* ΔE_f: 111 meV/atom
* E above lowest polymorph: 0.0 meV per atom

---

CdSi2Hg: optimized geometry, PBE.

Lattice parameters (Å, degrees): 3.778 3.778 7.385 74.72 74.72 59.90
Fractional positions:
Si: 0.018 0.018 0.940
Hg: 0.258 0.258 0.225
Cd: 0.492 0.492 0.528
Si: 0.731 0.731 0.807

Output
* electronic total energy: -11.21 eV per formula unit
* E_form (uncorrected): 20.6 kJ/mol of atoms
* E above lowest polymorph: 0.0 meV per atom

---

U2IrOs: optimized geometry, PBE.

Lattice parameters (Å, degrees): 4.201 4.202 5.679 90.00 90.00 119.99
Each line ends with the local moment (μB).
Fractional positions:
Ir: 0.000 0.000 0.500  -0.14
U: 0.667 0.333 0.756  1.51
U: 0.333 0.667 0.244  1.51
Os: 0.000 0.000 0.000  -0.23

Output
* electronic total energy: -43.57 eV per formula unit
* ΔE_f: -225 meV/atom
* E above lowest polymorph: 0.0 meV per atom

---

NiPdBr4: optimized geometry, PBE.

Lattice parameters (Å, degrees): 3.781 7.898 6.606 115.95 90.00 103.85
Each line ends with the local moment (μB).
Fractional positions:
Br: 0.394 0.789 0.072  0.31
Pd: 0.000 0.000 0.000  1.06
Br: 0.103 0.206 0.452  0.28
Ni: 0.500 0.000 0.500  1.39
Br: 0.606 0.211 0.928  0.31
Br: 0.897 0.794 0.548  0.28

Output
* electronic total energy: -19.17 eV per formula unit
* E_form (uncorrected): -24.2 kJ/mol of atoms

---

CaZrO2: optimized geometry, PBE.

Lattice parameters (Å, degrees): 5.185 5.185 6.359 65.94 65.94 90.00
Each line ends with the local moment (μB).
Fractional positions:
Zr: 0.000 0.000 0.000  0.57
Ca: 0.250 0.750 0.500  0.15
O: 0.080 0.625 0.250  0.06
O: 0.670 0.125 0.250  0.06
Zr: 0.750 0.250 0.500  0.57
O: 0.375 0.330 0.750  0.06
O: 0.875 0.920 0.750  0.04
Ca: 0.500 0.500 0.000  0.16

Output
* electronic total energy: -29.92 eV per formula unit
* E_form (uncorrected): -228.2 kJ/mol of atoms
* E above lowest polymorph: 134.3 meV per atom

---

SrLiPmAg: optimized geometry, PBE.

Lattice parameters (Å, degrees): 5.451 5.451 5.451 60.00 60.00 60.00
Fractional positions:
Sr: 0.500 0.500 0.500
Li: 0.250 0.250 0.250
Ag: 0.750 0.750 0.750
Pm: 0.000 0.000 0.000

Output
* electronic total energy: -11.38 eV per formula unit
* ΔE_f: -44 meV/atom

---

HfNbGe: optimized geometry, PBE.

Lattice parameters (Å, degrees): 5.304 7.300 7.237 82.35 68.50 68.70
Fractional positions:
Hf: 0.504 0.232 0.761
Nb: 0.107 0.785 0.000
Hf: 0.736 0.768 0.761
Ge: 0.632 0.382 0.355
Ge: 0.987 0.382 0.645
Hf: 0.496 0.768 0.239
Nb: 0.893 0.215 0.000
Nb: 0.811 0.000 0.378
Hf: 0.264 0.232 0.239
Ge: 0.368 0.618 0.645
Nb: 0.189 0.000 0.622
Ge: 0.013 0.618 0.355

Output
* electronic total energy: -24.57 eV per formula unit
* ΔE_f: 24 meV/atom

---

Ac2LaIrPd: optimized geometry, PBE.

Lattice parameters (Å, degrees): 4.328 7.296 10.541 90.00 90.00 107.26
Fractional positions:
Ir: 0.000 0.000 0.000
Ir: 0.000 0.000 0.500
La: 0.085 0.170 0.250
Pd: 0.262 0.525 0.750
Ac: 0.639 0.278 0.938
Ac: 0.361 0.722 0.062
Ac: 0.361 0.722 0.438
Pd: 0.738 0.475 0.250
Ac: 0.639 0.278 0.562
La: 0.915 0.830 0.750

Output
* electronic total energy: -30.60 eV per formula unit
* ΔE_f: -681 meV/atom

---

MoHRu2Pt: optimized geometry, PBE.

Lattice parameters (Å, degrees): 3.973 3.973 3.865 90.00 90.00 90.00
Fractional positions:
Pt: 0.000 0.000 0.500
Mo: 0.500 0.500 0.500
Ru: 0.500 0.000 0.000
Ru: 0.000 0.500 0.000
H: 0.000 0.000 0.000

Output
* electronic total energy: -38.86 eV per formula unit
* E above lowest polymorph: 46.1 meV per atom

---

RbSc2P: optimized geometry, PBE.

Lattice parameters (Å, degrees): 6.628 6.628 8.902 68.14 68.14 90.00
Fractional positions:
P: 0.250 0.750 0.500
Sc: 0.375 0.624 0.750
Rb: 0.750 0.250 0.500
Sc: 0.875 0.626 0.750
Rb: 0.000 0.000 0.000
Sc: 0.374 0.625 0.250
Sc: 0.376 0.125 0.250
P: 0.500 0.500 0.000

Output
* electronic total energy: -18.71 eV per formula unit
* ΔE_f: 83 meV/atom

---

NaFe: optimized geometry, PBE.

Lattice parameters (Å, degrees): 8.460 8.460 8.460 90.00 90.00 90.00
Each line ends with the local moment (μB).
Fractional positions:
Fe: 0.500 0.000 0.750  3.06
Fe: 0.500 0.000 0.250  3.06
Na: 0.000 0.500 0.750  -0.03
Na: 0.500 0.750 0.000  -0.03
Fe: 0.000 0.250 0.500  3.06
Fe: 0.750 0.500 0.000  3.06
Na: 0.000 0.500 0.250  -0.03
Fe: 0.250 0.500 0.000  3.06
Na: 0.250 0.000 0.500  -0.03
Na: 0.750 0.000 0.500  -0.03
Na: 0.500 0.250 0.000  -0.03
Fe: 0.000 0.750 0.500  3.06

Output
* electronic total energy: -5.81 eV per formula unit
* ΔE_f: 1986 meV/atom